Record 1
K2CdI, relaxed, DFT PBE-GGA; E = -7.17 eV/cell; energy above the lowest structure with this stoichiometry = 43 meV/atom; formation energy without anion corrections = -0.6274 eV/atom; space-group type = R-3m (166)
1.0
4.860 0.000 0.000
2.430 4.209 0.000
2.430 1.403 9.231
I K Cd
1 2 1
direct
0.000 0.000 0.000
0.255 0.255 0.235
0.745 0.745 0.765
0.500 0.500 0.500



Record 2
TbTh2Zr, relaxed, DFT PBE-GGA; E = -27.46 eV/cell; energy above the lowest structure with this stoichiometry = 50 meV/atom; formation energy from the elements = 0.140 eV/atom; space-group type = Fm-3m (225)
1.0
-1.700 3.994 -3.371
-5.374 0.778 -0.849
-2.489 4.452 2.049
Tb Zr Th
1 1 2
direct
0.500 0.500 0.500
0.000 0.000 0.000
0.250 0.250 0.250
0.750 0.750 0.750



Record 3
PrAlZn5, relaxed, DFT PBE-GGA; E = -66.29 eV/cell; formation energy from the elements = -0.240 eV/atom; space-group type = Pnma (62)
1.0
5.183 0.000 0.000
0.000 8.838 0.000
0.000 0.000 10.782
Pr Al Zn
4 4 20
direct
0.250 0.236 0.941
0.750 0.264 0.441
0.250 0.736 0.559
0.750 0.764 0.059
0.250 0.861 0.854
0.750 0.639 0.354
0.250 0.361 0.646
0.750 0.139 0.146
0.250 0.579 0.022
0.750 0.921 0.522
0.250 0.079 0.478
0.750 0.421 0.978
0.750 0.303 0.752
0.250 0.197 0.252
0.750 0.803 0.748
0.250 0.697 0.248
0.250 0.951 0.095
0.750 0.549 0.595
0.250 0.451 0.405
0.750 0.049 0.905
0.990 0.433 0.191
0.010 0.067 0.691
0.510 0.933 0.309
0.490 0.567 0.809
0.010 0.567 0.809
0.990 0.933 0.309
0.490 0.067 0.691
0.510 0.433 0.191



Record 4
YHoCuTc, relaxed, DFT PBE-GGA; E = -25.88 eV/cell; formation energy from the elements = -0.094 eV/atom; space-group type = F-43m (216)
1.0
-3.191 -3.670 0.170
-0.273 -2.805 3.968
-3.883 0.285 2.919
Y Ho Cu Tc
1 1 1 1
direct
0.750 0.750 0.750
0.250 0.250 0.250
0.000 0.000 0.000
0.500 0.500 0.500



Number 1: V 188.9 Å³/f.u.. Number 2: V 117.4 Å³/f.u.. Number 3: V 123.5 Å³/f.u.. Number 4: V 81.5 Å³/f.u..